Entry 1:
Density functional theory data (PBE-GGA) for crystalline LiTaSO at its relaxed geometry.

Output
Its energy relative to the lowest polymorph listed for this composition is 11 meV/atom. For the total energy, the calculation gives -7.363 eV per atom.

Cell lengths 3.0920, 3.0920, 12.1851 Å; angles 90.00, 90.00, 120.00 degrees
With the nearest neighbours (Å) after each atom.
Element x y z (fractional)
Li: 0.0000 0.0000 0.2235  3 O 2.28, 3 S 2.46
Li: 0.0000 0.0000 0.7765  3 O 2.28, 3 S 2.46
O: 0.3333 0.6667 0.1071  3 Ta 2.21, 3 Li 2.28
O: 0.3333 0.6667 0.8929  3 Ta 2.21, 3 Li 2.28
S: 0.6667 0.3333 0.3626  3 Ta 2.45, 3 Li 2.46
S: 0.6667 0.3333 0.6374  3 Ta 2.45, 3 Li 2.46
Ta: 0.0000 0.0000 0.0000  6 O 2.21
Ta: 0.0000 0.0000 0.5000  6 S 2.45

---

Entry 2:
Density functional theory data (PBE-GGA) for crystalline Pm3DyTa2 at its relaxed geometry.

Output
For the total energy, the calculation gives -6.528 eV per atom. The formation energy from the elements comes out at 3.37 eV/f.u.

Cell lengths 5.1852, 5.1852, 6.8381 Å; angles 90.00, 90.00, 120.00 degrees
With the nearest neighbours (Å) after each atom.
Element x y z (fractional)
Dy: 0.0000 0.0000 0.5000  8 Pm 3.22-3.42
Pm: 0.0000 0.0000 0.0000  6 Ta 3.10, 2 Dy 3.42
Pm: 0.3333 0.6667 0.3260  4 Ta 3.03-3.32, 3 Dy 3.22
Pm: 0.6667 0.3333 0.6740  4 Ta 3.03-3.32, 3 Dy 3.22
Ta: 0.6667 0.3333 0.1170  7 Pm 3.03-3.32
Ta: 0.3333 0.6667 0.8830  7 Pm 3.03-3.32

---

Entry 3:
Density functional theory data (PBE-GGA) for crystalline InCu2TeS2 at its relaxed geometry.

Output
For the total energy, the calculation gives -3.912 eV per atom.

Cell lengths 6.9736, 6.9736, 6.8782 Å; angles 99.33, 99.33, 119.84 degrees
With the nearest neighbours (Å) after each atom.
Element x y z (fractional)
Cu: 0.5994 0.3997 0.0147  2 S 2.26-2.31
Cu: 0.7624 0.2360 0.4755  3 S 2.31-2.33
Cu: 0.3997 0.5994 0.5147  2 S 2.26-2.31
Cu: 0.2360 0.7624 0.9755  3 S 2.31-2.33
In: 0.0581 0.8787 0.4903  3 S 2.50-2.56, 1 Te 2.79
In: 0.8787 0.0581 0.9903  3 S 2.50-2.56, 1 Te 2.79
S: 0.9407 0.7540 0.0991  2 Cu 2.31-2.33, 2 In 2.55-2.56
S: 0.5893 0.1076 0.1260  3 Cu 2.26-2.32, 1 In 2.50
S: 0.7540 0.9407 0.5991  2 Cu 2.31-2.33, 2 In 2.55-2.56
S: 0.1076 0.5893 0.6260  3 Cu 2.26-2.32, 1 In 2.50
Te: 0.3042 0.4752 0.1233  3 Cu 2.55-2.59, 1 In 2.79
Te: 0.4752 0.3042 0.6233  3 Cu 2.55-2.59, 1 In 2.79